PaAl3ZnCu PBE relaxed; SG = Cmcm (63); crystal system = orthorhombic; energy of formation from the pure elements = 60.2 meV per atom; theoretical density = 6.7 Mg/m³; calculated volume = 218.8 Å³ per cell; raw total energy = -4.2887 eV/atom
1.0
5.710 0.000 0.000
0.000 6.069 0.000
0.000 -3.034 6.314
Cu Al Zn Pa
2 6 2 2
direct
0.250 0.922 0.844
0.750 0.078 0.156
0.000 0.710 0.000
0.500 0.710 0.000
0.000 0.290 0.000
0.500 0.290 0.000
0.250 0.138 0.276
0.750 0.862 0.724
0.750 0.654 0.308
0.250 0.346 0.692
0.750 0.291 0.583
0.250 0.709 0.417